No. 1
Computed, not measured: a relaxed structure of Dy3TlTe4O12 at the PBE-GGA level of DFT.

```
data_Dy3TlTe4O12
_chemical_formula_sum 'Dy9 Tl3 Te12 O36'
_symmetry_space_group_name_H-M 'R 3 2'
_symmetry_Int_Tables_number 155
_symmetry_space_group_name_Hall 'R 3 2"'
_cell_length_a 11.5917
_cell_length_b 11.5917
_cell_length_c 9.2465
_cell_angle_alpha 90.00
_cell_angle_beta 90.00
_cell_angle_gamma 120.00
loop_
_atom_site_label
_atom_site_type_symbol
_atom_site_fract_x
_atom_site_fract_y
_atom_site_fract_z
Dy1 Dy 0.0000 0.5742 0.0000
Tl1 Tl 0.0000 0.0000 0.0000
Te1 Te 0.0000 0.0000 0.5000
Te2 Te 0.0000 0.4083 0.5000
O1 O 0.0000 0.5752 0.5000
O2 O 0.0000 0.8236 0.5000
O3 O 0.0380 0.1878 0.2505
```

Output
D(E_F) (states/eV/cell): 9.6
Energy relative to the elements, uncorrected (eV per atom): -1.70

---

No. 2
Computed, not measured: a relaxed structure of PrSmEu2 at the PBE-GGA level of DFT.

```
data_PrSmEu2
_chemical_formula_sum 'Pr1 Sm1 Eu2'
_symmetry_space_group_name_H-M 'P 4/m m m'
_symmetry_Int_Tables_number 123
_symmetry_space_group_name_Hall '-P 4 2'
_cell_length_a 3.7244
_cell_length_b 3.7244
_cell_length_c 10.7582
_cell_angle_alpha 90.00
_cell_angle_beta 90.00
_cell_angle_gamma 90.00
loop_
_atom_site_label
_atom_site_type_symbol
_atom_site_fract_x
_atom_site_fract_y
_atom_site_fract_z
Pr1 Pr 0.0000 0.0000 0.0000
Sm1 Sm 0.0000 0.0000 0.5000
Eu1 Eu 0.5000 0.5000 0.2530
```

Output
D(E_F) (states/eV/cell): 5.2
Calculated formation energy (eV/atom): 0.092

---

No. 3
Computed, not measured: a relaxed structure of TmB2Ir3 at the PBE-GGA level of DFT.

```
data_TmB2Ir3
_chemical_formula_sum 'Tm1 B2 Ir3'
_symmetry_space_group_name_H-M 'P 6/m m m'
_symmetry_Int_Tables_number 191
_symmetry_space_group_name_Hall '-P 6 2'
_cell_length_a 5.4493
_cell_length_b 5.4493
_cell_length_c 3.1461
_cell_angle_alpha 90.00
_cell_angle_beta 90.00
_cell_angle_gamma 120.00
loop_
_atom_site_label
_atom_site_type_symbol
_atom_site_fract_x
_atom_site_fract_y
_atom_site_fract_z
Tm1 Tm 0.0000 0.0000 0.0000
B1 B 0.3333 0.6667 0.0000
Ir1 Ir 0.0000 0.5000 0.5000
```

Output
D(E_F) (states/eV/cell): 0.6
Calculated formation energy (eV/atom): -0.687

---

No. 4
Computed, not measured: a relaxed structure of Sr3HgN at the PBE-GGA level of DFT.

```
data_Sr3HgN
_chemical_formula_sum 'Sr3 Hg1 N1'
_symmetry_space_group_name_H-M 'P m -3 m'
_symmetry_Int_Tables_number 221
_symmetry_space_group_name_Hall '-P 4 2 3'
_cell_length_a 5.2816
_cell_length_b 5.2816
_cell_length_c 5.2816
_cell_angle_alpha 90.00
_cell_angle_beta 90.00
_cell_angle_gamma 90.00
loop_
_atom_site_label
_atom_site_type_symbol
_atom_site_fract_x
_atom_site_fract_y
_atom_site_fract_z
Sr1 Sr 0.0000 0.0000 0.5000
Hg1 Hg 0.5000 0.5000 0.5000
N1 N 0.0000 0.0000 0.0000
```

Output
D(E_F) (states/eV/cell): 2.8
Energy relative to the elements, uncorrected (eV per atom): -0.50